{"formula": "ScBS4", "functional": "GGA-PBE", "state": "optimized geometry", "space_group": "Cmcm, No. 63", "crystal_system": "orthorhombic", "e_form_raw_ev_per_atom": -0.625, "dos_at_fermi_per_ev_atom": 0.6510, "lattice": [[3.9999, -3.3771, 0.0000], [3.9999, 3.3771, 0.0000], [0.0000, 0.0000, 8.2092]], "species": ["Sc", "Sc", "B", "B", "S", "S", "S", "S", "S", "S", "S", "S"], "frac_coords": [[0.1372, 0.8628, 0.7500], [0.8628, 0.1372, 0.2500], [0.3756, 0.6244, 0.2500], [0.6244, 0.3756, 0.7500], [0.1943, 0.8057, 0.0721], [0.1943, 0.8057, 0.4279], [0.2686, 0.3481, 0.7500], [0.3481, 0.2686, 0.2500], [0.6519, 0.7314, 0.7500], [0.7314, 0.6519, 0.2500], [0.8057, 0.1943, 0.5721], [0.8057, 0.1943, 0.9279]]}

=====

{"formula": "SrIn3Si", "functional": "GGA-PBE", "state": "optimized geometry", "space_group": "Pm-3m, No. 221", "crystal_system": "cubic", "e_form_raw_ev_per_atom": 0.100, "dos_at_fermi_per_ev_atom": 0.6362, "lattice": [[5.3836, 0.0000, 0.0000], [0.0000, 5.3836, 0.0000], [0.0000, 0.0000, 5.3836]], "species": ["Sr", "In", "In", "In", "Si"], "frac_coords": [[0.0000, 0.0000, 0.0000], [0.0000, 0.5000, 0.5000], [0.5000, 0.0000, 0.5000], [0.5000, 0.5000, 0.0000], [0.5000, 0.5000, 0.5000]]}